A geometry-optimized TcAgTe2 structure. Source: Alexandria via LeMat-Bulk, functional GGA-PBE.

The formation energy (no corrections) is 0.22 eV per atom. The energy above the most stable polymorph in this dataset is 35 kJ/mol of formula units. For the volume, the calculation gives 90.2 Å³/cell. The mass density is 8.493 g cm⁻³.

It has space group Pmmm (No. 47), with a = 3.236 Å, b = 3.294 Å, c = 8.456 Å, α = 90.00°, β = 90.00° and γ = 90.00°. The asymmetric unit holds Tc at (0.000, 0.000, 0.000), Ag at (0.500, 0.000, 0.500) and Te at (0.500, 0.500, 0.198).